[1]
RbSm2Ag3Se5 at its PBEsol-relaxed geometry, computed with meta-GGA SCAN.

CIF file:
```
data_RbSm2Ag3Se5
_cell_length_a 4.2939
_cell_length_b 15.0333
_cell_length_c 17.2486
_cell_angle_alpha 90.00
_cell_angle_beta 90.00
_cell_angle_gamma 90.00
_symmetry_space_group_name_H-M 'C m c m'
_symmetry_Int_Tables_number 63
_symmetry_space_group_name_Hall '-C 2c 2'
loop_
_atom_site_label
_atom_site_fract_x
_atom_site_fract_y
_atom_site_fract_z
Rb1 0.0000 0.0626 0.2500
Sm1 0.0000 0.1897 0.5948
Ag1 0.0000 0.3383 0.2500
Ag2 0.0000 0.4121 0.5335
Se1 0.0000 0.1771 0.0732
Se2 0.0000 0.2590 0.7500
Se3 0.0000 0.4389 0.1210
```

Computed properties:
As for the density: 6.59 Mg/m³. For the total energy, the calculation gives -28.924 eV/atom.


[2]
RbSi2Ag at its PBEsol-relaxed geometry, computed with meta-GGA SCAN.

CIF file:
```
data_RbSi2Ag
_cell_length_a 4.9526
_cell_length_b 4.9526
_cell_length_c 17.5735
_cell_angle_alpha 90.00
_cell_angle_beta 90.00
_cell_angle_gamma 90.00
_symmetry_space_group_name_H-M 'I 41/a m d'
_symmetry_Int_Tables_number 141
loop_
_symmetry_equiv_pos_as_xyz
'x,y,z'
'-x,-y,-z'
'-y+1/4,x+3/4,z+1/4'
'y+1/4,-x+3/4,-z+1/4'
'-x+1/2,-y,z+1/2'
'x+1/2,y,-z+1/2'
'y+1/4,-x+1/4,z+3/4'
'-y+1/4,x+1/4,-z+3/4'
'x,-y,-z'
'-x,y,z'
'-y+1/4,-x+1/4,-z+3/4'
'y+1/4,x+1/4,z+3/4'
'-x+1/2,y,-z+1/2'
'x+1/2,-y,z+1/2'
'y+1/4,x+3/4,-z+1/4'
'-y+1/4,-x+3/4,z+1/4'
'x+1/2,y+1/2,z+1/2'
'-x+1/2,-y+1/2,-z+1/2'
'-y+3/4,x+1/4,z+3/4'
'y+3/4,-x+1/4,-z+3/4'
'-x,-y+1/2,z'
'x,y+1/2,-z'
'y+3/4,-x+3/4,z+1/4'
'-y+3/4,x+3/4,-z+1/4'
'x+1/2,-y+1/2,-z+1/2'
'-x+1/2,y+1/2,z+1/2'
'-y+3/4,-x+3/4,-z+1/4'
'y+3/4,x+3/4,z+1/4'
'-x,y+1/2,-z'
'x,-y+1/2,z'
'y+3/4,x+1/4,-z+3/4'
'-y+3/4,-x+1/4,z+3/4'
loop_
_atom_site_label
_atom_site_fract_x
_atom_site_fract_y
_atom_site_fract_z
Rb1 0.0000 0.2500 0.3750
Si1 0.0000 0.0000 0.0000
Ag1 0.0000 0.2500 0.8750
```

Computed properties:
As for the density: 3.84 Mg/m³. For the total energy, the calculation gives -17.664 eV/atom.


[3]
RbSi2Ag at its PBEsol-relaxed geometry, computed with meta-GGA SCAN.

CIF file:
```
data_RbSi2Ag
_cell_length_a 6.9390
_cell_length_b 6.9390
_cell_length_c 6.9390
_cell_angle_alpha 90.00
_cell_angle_beta 90.00
_cell_angle_gamma 90.00
_symmetry_space_group_name_H-M 'F m -3 m'
_symmetry_Int_Tables_number 225
_symmetry_space_group_name_Hall '-F 4 2 3'
loop_
_atom_site_label
_atom_site_fract_x
_atom_site_fract_y
_atom_site_fract_z
Rb1 0.0000 0.0000 0.0000
Si1 0.2500 0.2500 0.2500
Ag1 0.0000 0.0000 0.5000
```

Computed properties:
As for the density: 4.96 Mg/m³. For the total energy, the calculation gives -17.088 eV/atom.


What did the first record say?
RbSm2Ag3Se5 at its PBEsol-relaxed geometry, computed with meta-GGA SCAN.

CIF file:
```
data_RbSm2Ag3Se5
_cell_length_a 4.2939
_cell_length_b 15.0333
_cell_length_c 17.2486
_cell_angle_alpha 90.00
_cell_angle_beta 90.00
_cell_angle_gamma 90.00
_symmetry_space_group_name_H-M 'C m c m'
_symmetry_Int_Tables_number 63
_symmetry_space_group_name_Hall '-C 2c 2'
loop_
_atom_site_label
_atom_site_fract_x
_atom_site_fract_y
_atom_site_fract_z
Rb1 0.0000 0.0626 0.2500
Sm1 0.0000 0.1897 0.5948
Ag1 0.0000 0.3383 0.2500
Ag2 0.0000 0.4121 0.5335
Se1 0.0000 0.1771 0.0732
Se2 0.0000 0.2590 0.7500
Se3 0.0000 0.4389 0.1210
```

Computed properties:
As for the density: 6.59 Mg/m³. For the total energy, the calculation gives -28.924 eV/atom.